#a
The following is a DFT calculation (SCAN) of a PBEsol-optimized structure of Ag2PtCl.

Calculated values
density of states at the Fermi level	1.3	states/eV per cell

Unit cell a=5.4839 b=5.4839 c=5.4839 alpha=148.92 beta=127.57 gamma=62.22
Positions (direct):
Ag  0.2476  0.2476  0.0000
Ag  0.7524  0.7524  0.0000
Pt  0.5000  0.0000  0.5000
Cl  0.0000  0.5000  0.5000

#b
The following is a DFT calculation (SCAN) of a PBEsol-optimized structure of Ag2PtCl.

Calculated values
density of states at the Fermi level	1.4	states/eV per cell

Unit cell a=8.6130 b=8.6130 c=8.6130 alpha=20.16 beta=20.16 gamma=20.16
Positions (direct):
Ag  0.2480  0.2480  0.2480
Ag  0.7520  0.7520  0.7520
Pt  0.0000  0.0000  0.0000
Cl  0.5000  0.5000  0.5000

Quick one: most stable of them? #b